# 1
# SrZnW2 (PBE, relaxed)
data_SrZnW2
_symmetry_space_group_name_H-M 'P 1'
_symmetry_Int_Tables_number 1
_symmetry_space_group_name_Hall 'P 1'
_cell_length_a 4.710
_cell_length_b 4.710
_cell_length_c 4.710
_cell_angle_alpha 60.00
_cell_angle_beta 60.00
_cell_angle_gamma 60.00
loop_
_atom_site_label
_atom_site_type_symbol
_atom_site_fract_x
_atom_site_fract_y
_atom_site_fract_z
Sr1 Sr 0.500 0.500 0.500
Zn1 Zn 0.000 0.000 0.000
W1 W 0.250 0.250 0.250
W2 W 0.750 0.750 0.750
# Total moment = 0.0 μB per cell
# Formation energy = 6.6 eV/f.u.

# 2
# Sr2ZnW (PBE, relaxed)
data_Sr2ZnW
_symmetry_space_group_name_H-M 'P 1'
_symmetry_Int_Tables_number 1
_symmetry_space_group_name_Hall 'P 1'
_cell_length_a 4.438
_cell_length_b 4.767
_cell_length_c 6.275
_cell_angle_alpha 67.67
_cell_angle_beta 90.00
_cell_angle_gamma 90.00
loop_
_atom_site_label
_atom_site_type_symbol
_atom_site_fract_x
_atom_site_fract_y
_atom_site_fract_z
Sr1 Sr 0.000 0.982 0.911
Sr2 Sr 0.500 0.271 0.334
W1 W 0.000 0.678 0.520
Zn1 Zn 0.500 0.570 0.736
# Total moment = 2.1 μB per cell
# Formation energy = 2.9 eV/f.u.